The following is a PBE-GGA calculation of a geometry-optimized Li4Ac2GaPd3 structure, from Alexandria via LeMat-Bulk.

Unit cell a=4.231 b=4.231 c=11.467 alpha=90.00 beta=90.00 gamma=90.00
Element x y z (fractional)
Pd1 0.000 0.500 0.150
Pd2 0.500 0.000 0.850
Pd3 0.000 0.000 0.500
Li1 0.000 0.500 0.378
Li2 0.500 0.000 0.622
Li3 0.500 0.500 0.000
Li4 0.000 0.000 0.000
Ga1 0.500 0.500 0.500
Ac1 0.500 0.000 0.254
Ac2 0.000 0.500 0.746

Computed properties:
**DOS at the Fermi energy**: 5.2 states/eV/f.u.
**Space group**: P-4m2 (115)
**Energy of formation from the pure elements**: -0.479 eV/atom
**Mass density**: 7.044 g/cm3